## GdScO3 (PBE-GGA)

Data for a geometry-optimized GdScO3 structure.

Unit cell a=3.8616 b=3.8616 c=4.5911 alpha=90.00 beta=90.00 gamma=90.00
With the nearest neighbours (Å) after each atom.
Space group P4mm (No. 99)
Symmetry-distinct sites (fractional):
1 Gd 0.0000 0.0000 0.0000  4 O 2.30
2 Sc 0.5000 0.5000 0.5942  5 O 1.95-2.03
3 O 0.0000 0.5000 0.7287  2 Sc 2.03
4 O 0.5000 0.5000 0.1686  1 Sc 1.95

## Properties
E_tot in eV/atom: -8.4938
Theoretical density in g/cm3: 6.1
Crystal system: tetragonal